Computed, not measured: KGaIBr after structural relaxation at the PBE-GGA level of DFT.

## Properties
density of states at the Fermi level: 0.0 states/eV/f.u.
offset from the most stable computed form: 0.071 eV/atom
SG: F-43m
E: -2.765 eV per atom
raw formation energy: -928 meV per atom
mass density: 3.89 Mg/m³

```
KGaIBr
1.0
-0.921 0.580 -5.649
2.595 -3.544 -3.716
-3.076 -3.951 -2.834
K Br I Ga
1 1 1 1
Direct
0.000 0.000 0.000
0.750 0.750 0.750
0.250 0.250 0.250
0.500 0.500 0.500
```